No. 1
Computed, not measured: NbAlO3 after structural relaxation at the GGA-PBE level of DFT.

Lattice parameters (Å, degrees): 12.6904 2.9434 6.2735 90.00 104.03 90.00
Space group C2/m (No. 12)
Inequivalent atoms, fractional coordinates:
Nb  0.1543  0.0000  0.3653 x4
Al  0.1109  0.5000  0.8627 x4
O  0.0297  0.5000  0.2594 x4
O  0.1500  0.0000  0.0152 x4
O  0.1735  0.5000  0.6312 x4

Properties
magnetization	0.00	μB per atom
raw formation energy	-238	kJ/mol of atoms

No. 2
Computed, not measured: Sn2HgCl8 after structural relaxation at the GGA-PBE level of DFT.

Lattice parameters (Å, degrees): 14.0684 7.6122 9.6740 90.00 113.66 90.00
Space group C2/m (No. 12)
Inequivalent atoms, fractional coordinates:
Sn  0.2105  0.0000  0.1882 x4
Hg  0.0000  0.0000  0.5000 x2
Cl  0.1103  0.5000  0.6893 x4
Cl  0.1438  0.2487  0.2550 x8
Cl  0.1615  0.0000  0.9284 x4

Properties
magnetization	0.00	μB per atom
raw formation energy	-81	kJ/mol of atoms

No. 3
Computed, not measured: NpTeS after structural relaxation at the GGA-PBE level of DFT.

Lattice parameters (Å, degrees): 3.7292 3.7292 10.1362 90.00 90.00 90.00
Space group P4/nmm (No. 129, origin choice 2)
Inequivalent atoms, fractional coordinates:
Np  0.2500  0.2500  0.1962 x2
Te  0.2500  0.2500  0.6162 x2
S  0.2500  0.2500  0.9108 x2

Properties
magnetization	1.15	μB per atom
raw formation energy	-83	kJ/mol of atoms

No. 4
Computed, not measured: InCuAs2 after structural relaxation at the GGA-PBE level of DFT.

Lattice parameters (Å, degrees): 3.1092 3.8782 7.1712 90.00 90.00 90.00
Space group Pmm2 (No. 25)
Inequivalent atoms, fractional coordinates:
In  0.0000  0.0000  0.0000 x1
Cu  0.5000  0.5000  0.5381 x1
As  0.0000  0.0000  0.6260 x1
As  0.5000  0.5000  0.1922 x1

Properties
magnetization	0.00	μB per atom
raw total energy	-15.7	eV/f.u.

- The highest magnetization belongs to which entry?
  NpTeS